A:
The following is a DFT calculation (GGA-PBE) of a relaxed structure of PtRh2.

Unit cell a=4.4399 b=4.4399 c=2.7508 alpha=90.00 beta=90.00 gamma=90.00
Closest atoms and distances in Å follow each position.
Sites, in units of the cell vectors:
Pt: 0.0000 0.0000 0.0000  8 Rh 2.61, 2 Pt 2.75
Rh: 0.0000 0.5000 0.5000  4 Pt 2.61, 2 Rh 2.75
Rh: 0.5000 0.0000 0.5000  4 Pt 2.61, 2 Rh 2.75

Calculated values
The value obtained for the calculated volume is 18.07 Å³ per atom. For the total moment, the calculation gives 0.7 μB/f.u.

B:
The following is a DFT calculation (GGA-PBE) of a relaxed structure of PtRh2.

Unit cell a=6.0379 b=6.0379 c=6.0379 alpha=90.00 beta=90.00 gamma=90.00
Closest atoms and distances in Å follow each position.
Sites, in units of the cell vectors:
Pt: 0.0000 0.0000 0.0000  6 Rh 2.52
Pt: 0.0000 0.5000 0.5000  6 Rh 2.52
Pt: 0.5000 0.0000 0.5000  6 Rh 2.52
Pt: 0.5000 0.5000 0.0000  6 Rh 2.52
Rh: 0.1150 0.6150 0.8850  1 Rh 2.41, 3 Pt 2.52
Rh: 0.1150 0.8850 0.3850  1 Rh 2.41, 3 Pt 2.52
Rh: 0.3850 0.1150 0.8850  1 Rh 2.41, 3 Pt 2.52
Rh: 0.3850 0.3850 0.3850  1 Rh 2.41, 3 Pt 2.52
Rh: 0.6150 0.6150 0.6150  1 Rh 2.41, 3 Pt 2.52
Rh: 0.6150 0.8850 0.1150  1 Rh 2.41, 3 Pt 2.52
Rh: 0.8850 0.1150 0.6150  1 Rh 2.41, 3 Pt 2.52
Rh: 0.8850 0.3850 0.1150  1 Rh 2.41, 3 Pt 2.52

Calculated values
The value obtained for the calculated volume is 18.34 Å³ per atom. For the total moment, the calculation gives 0.0 μB/f.u.

Most stable structure among those shown: A.